Density functional theory data (PBE) for a geometry-optimized B7C3 structure.

Calculated values
The calculated formation energy is 350.6 meV/atom. The value obtained for the total energy is -7.0908 eV/atom. The density of states at the Fermi level is 1.02 states/eV/f.u.

Cell lengths 15.238, 2.764, 3.771 Å; angles 90.00, 103.43, 90.00 degrees
Space group Cm (No. 8)
Inequivalent atoms, fractional coordinates:
B1 0.000 0.000 0.000 [2 per cell]
B2 0.010 0.500 0.710 [2 per cell]
B3 0.080 0.000 0.408 [2 per cell]
B4 0.226 0.000 0.081 [2 per cell]
B5 0.271 0.500 0.620 [2 per cell]
B6 0.395 0.000 0.412 [2 per cell]
B7 0.459 0.500 0.407 [2 per cell]
C1 0.114 0.500 0.583 [2 per cell]
C2 0.200 0.500 0.883 [2 per cell]
C3 0.298 0.000 0.474 [2 per cell]